# 1
The following is a SCAN calculation of AlSCl3O2 at its PBEsol-relaxed geometry, from Alexandria via LeMat-Bulk.

a b c (Å): 6.3022 7.7474 7.8362
angles (deg): 85.55 75.22 66.37
Space group P-1 (No. 2)
Unique sites:
Al: 0.1860 0.3235 0.2092 [2 per cell]
S: 0.3122 0.3328 0.7982 [2 per cell]
Cl: 0.1398 0.1545 0.7963 [2 per cell]
Cl: 0.1853 0.0592 0.2901 [2 per cell]
Cl: 0.3293 0.4453 0.3579 [2 per cell]
O: 0.1135 0.5263 0.7998 [2 per cell]
O: 0.3547 0.3114 0.9823 [2 per cell]

Output
Uncorrected formation energy = -1.52 eV per atom



# 2
The following is a SCAN calculation of GaGeF3 at its PBEsol-relaxed geometry, from Alexandria via LeMat-Bulk.

a b c (Å): 4.3419 4.3419 4.3419
angles (deg): 90.00 90.00 90.00
Space group Pm-3m (No. 221)
Unique sites:
Ga: 0.0000 0.0000 0.0000 [1 per cell]
Ge: 0.5000 0.5000 0.5000 [1 per cell]
F: 0.0000 0.5000 0.5000 [3 per cell]

Output
Uncorrected formation energy = -1.66 eV per atom